PBE-GGA Pr2Ni2Pt15, optimized geometry; formation enthalpy at 0 K = -37.2 kJ per mole of atoms
1.0
4.630 2.673 4.481
-4.630 2.673 4.481
0.000 -5.346 4.481
Pr Ni Pt
2 2 15
Direct
0.164 0.164 0.164
0.836 0.836 0.836
0.407 0.407 0.407
0.593 0.593 0.593
0.000 0.500 0.500
0.156 0.156 0.656
0.156 0.656 0.156
0.195 0.500 0.805
0.195 0.805 0.500
0.344 0.844 0.844
0.500 0.000 0.500
0.500 0.195 0.805
0.500 0.500 0.000
0.500 0.805 0.195
0.656 0.156 0.156
0.805 0.195 0.500
0.805 0.500 0.195
0.844 0.344 0.844
0.844 0.844 0.344


PBE-GGA Pr5Ni2Pt, optimized geometry; formation enthalpy at 0 K = -38.3 kJ per mole of atoms
1.0
-3.742 3.742 7.360
3.742 -3.742 7.360
3.742 3.742 -7.360
Pr Ni Pt
10 4 2
Direct
0.000 0.000 0.000
0.027 0.527 0.839
0.188 0.027 0.500
0.312 0.812 0.839
0.473 0.312 0.500
0.500 0.500 0.000
0.527 0.688 0.500
0.688 0.188 0.161
0.812 0.973 0.500
0.973 0.473 0.161
0.121 0.379 0.500
0.379 0.879 0.259
0.621 0.121 0.741
0.879 0.621 0.500
0.250 0.250 0.000
0.750 0.750 0.000


PBE-GGA Pr2NiSb4Pt3, optimized geometry; energy relative to the elements, uncorrected = -0.777 eV/atom
1.0
4.599 0.000 0.000
0.000 4.599 0.000
0.000 0.000 10.703
Pr Ni Sb Pt
2 1 4 3
Direct
0.000 0.500 0.232
0.500 0.000 0.768
0.500 0.500 0.000
0.000 0.000 0.500
0.000 0.500 0.878
0.500 0.000 0.122
0.500 0.500 0.500
0.000 0.000 0.000
0.000 0.500 0.633
0.500 0.000 0.367


PBE-GGA Pr2Si3NiPt4, optimized geometry; energy relative to the elements, uncorrected = -0.986 eV/atom
1.0
4.279 0.000 0.000
0.000 4.279 0.000
0.000 0.000 9.918
Pr Si Ni Pt
2 3 1 4
Direct
0.000 0.500 0.239
0.500 0.000 0.761
0.000 0.000 0.000
0.000 0.500 0.629
0.500 0.000 0.371
0.500 0.500 0.000
0.000 0.000 0.500
0.000 0.500 0.870
0.500 0.000 0.130
0.500 0.500 0.500


PBE-GGA Pr2Si3NiPt12, optimized geometry; energy relative to the elements, uncorrected = -0.451 eV/atom
1.0
4.086 2.359 6.172
-4.086 2.359 6.172
0.000 -4.718 6.172
Pr Si Ni Pt
2 3 1 12
Direct
0.121 0.121 0.121
0.879 0.879 0.879
0.000 0.500 0.500
0.500 0.000 0.500
0.500 0.500 0.000
0.500 0.500 0.500
0.133 0.621 0.621
0.143 0.143 0.606
0.143 0.606 0.143
0.379 0.379 0.867
0.379 0.867 0.379
0.394 0.857 0.857
0.606 0.143 0.143
0.621 0.133 0.621
0.621 0.621 0.133
0.857 0.394 0.857
0.857 0.857 0.394
0.867 0.379 0.379


PBE-GGA PrSi2Ni5Pt, optimized geometry; energy relative to the elements, uncorrected = -0.163 eV/atom
1.0
4.490 0.000 0.000
0.000 4.490 0.000
0.000 0.000 6.695
Pr Si Ni Pt
1 2 5 1
Direct
0.000 0.000 0.000
0.500 0.500 0.327
0.500 0.500 0.673
0.000 0.500 0.300
0.000 0.500 0.700
0.500 0.000 0.300
0.500 0.000 0.700
0.500 0.500 0.000
0.000 0.000 0.500


PBE-GGA Pr2SiNiPt6, optimized geometry; energy relative to the elements, uncorrected = -0.796 eV/atom
1.0
5.873 -2.743 0.000
5.873 2.743 0.000
-5.475 0.000 6.136
Pr Si Ni Pt
2 1 1 6
Direct
0.234 0.234 0.197
0.766 0.766 0.803
0.000 0.000 0.500
0.500 0.500 0.000
0.250 0.250 0.612
0.252 0.744 0.258
0.256 0.748 0.742
0.744 0.252 0.258
0.748 0.256 0.742
0.750 0.750 0.388


PBE-GGA Pr2Si4NiPt3, optimized geometry; energy relative to the elements, uncorrected = -1.031 eV/atom
1.0
4.246 0.000 0.000
0.000 4.246 0.000
0.000 0.000 9.860
Pr Si Ni Pt
2 4 1 3
Direct
0.000 0.500 0.249
0.500 0.000 0.751
0.000 0.000 0.500
0.000 0.500 0.875
0.500 0.000 0.125
0.500 0.500 0.500
0.500 0.500 0.000
0.000 0.000 0.000
0.000 0.500 0.623
0.500 0.000 0.377


PBE-GGA Pr2Si3Ni12Pt, optimized geometry; energy relative to the elements, uncorrected = 0.110 eV/atom
1.0
3.848 2.222 5.695
-3.848 2.222 5.695
0.000 -4.443 5.695
Pr Si Ni Pt
2 3 12 1
Direct
0.107 0.107 0.107
0.893 0.893 0.893
0.000 0.500 0.500
0.500 0.000 0.500
0.500 0.500 0.000
0.117 0.636 0.636
0.145 0.145 0.571
0.145 0.571 0.145
0.364 0.364 0.883
0.364 0.883 0.364
0.429 0.855 0.855
0.571 0.145 0.145
0.636 0.117 0.636
0.636 0.636 0.117
0.855 0.429 0.855
0.855 0.855 0.429
0.883 0.364 0.364
0.500 0.500 0.500


PBE-GGA PrSiNiPt6, optimized geometry; energy relative to the elements, uncorrected = -0.305 eV/atom
1.0
-3.640 4.300 5.628
3.640 -4.300 5.628
3.640 4.300 -5.628
Pr Si Ni Pt
2 2 2 12
Direct
0.399 0.149 0.250
0.601 0.851 0.750
0.000 0.500 0.500
0.500 0.500 0.000
0.000 0.000 0.500
0.000 0.500 0.000
0.112 0.375 0.235
0.112 0.877 0.737
0.140 0.890 0.250
0.342 0.592 0.750
0.360 0.123 0.735
0.360 0.625 0.237
0.640 0.375 0.763
0.640 0.877 0.265
0.658 0.408 0.250
0.860 0.110 0.750
0.888 0.123 0.263
0.888 0.625 0.765


PBE-GGA PrSmNiPt, optimized geometry; formation enthalpy at 0 K = -71.8 kJ per mole of atoms
1.0
4.454 0.000 0.000
0.000 1.975 5.286
0.000 -1.975 5.286
Pr Sm Ni Pt
1 1 1 1
Direct
0.000 0.000 0.000
0.500 0.279 0.279
0.000 0.721 0.721
0.500 0.565 0.565


PBE-GGA PrNiSn2Pt4, optimized geometry; formation enthalpy at 0 K = -56.6 kJ per mole of atoms
1.0
2.236 1.291 8.881
-2.236 1.291 8.881
0.000 -2.582 8.881
Pr Ni Sn Pt
1 1 2 4
Direct
0.000 0.000 0.000
0.500 0.500 0.500
0.239 0.239 0.239
0.761 0.761 0.761
0.135 0.135 0.135
0.402 0.402 0.402
0.598 0.598 0.598
0.865 0.865 0.865


no.,magnetization (μB/atom)
1,0.08
2,0.00
3,0.00
4,0.00
5,0.00
6,0.00
7,0.00
8,0.00
9,0.00
10,0.00
11,0.00
12,0.00